# 1
This record from Alexandria via LeMat-Bulk describes a geometry-optimized SmTmAlZn structure. The functional is PBE. Values from VASP.

## Properties
For the formation energy, the calculation gives -368 meV/atom.

Cell and atoms, written as Quantum ESPRESSO input:
```
&SYSTEM
  ibrav = 0, nat = 4, ntyp = 4
/
ATOMIC_SPECIES
Sm 150.36 Sm.upf
Tm 168.93 Tm.upf
Al 26.98 Al.upf
Zn 65.41 Zn.upf
ATOMIC_POSITIONS crystal
Sm 0.000 0.000 0.000
Tm 0.000 0.000 0.491
Al 0.500 0.500 0.734
Zn 0.500 0.500 0.267
CELL_PARAMETERS angstrom
3.582 0.000 0.000
0.000 3.582 0.000
0.000 0.000 7.280
```

# 2
This record from Alexandria via LeMat-Bulk describes a geometry-optimized ZrBePO2 structure. The functional is PBE. Values from VASP.

## Properties
The calculation puts the formation energy without anion corrections at -0.89 eV per atom.

Cell and atoms, written as Quantum ESPRESSO input:
```
&SYSTEM
  ibrav = 0, nat = 5, ntyp = 4
/
ATOMIC_SPECIES
Zr 91.22 Zr.upf
Be 9.01 Be.upf
P 30.97 P.upf
O 16.00 O.upf
ATOMIC_POSITIONS crystal
Zr 0.000 0.000 0.000
Be 0.500 0.500 0.500
P 0.000 0.000 0.500
O 0.000 0.500 0.000
O 0.500 0.000 0.000
CELL_PARAMETERS angstrom
3.985 0.000 0.000
0.000 3.985 0.000
0.000 0.000 5.649
```

# 3
This record from Alexandria via LeMat-Bulk describes a geometry-optimized ZrBe2Os structure. The functional is PBE. Values from VASP.

## Properties
For the formation energy, the calculation gives 18 meV/atom.

Cell and atoms, written as Quantum ESPRESSO input:
```
&SYSTEM
  ibrav = 0, nat = 4, ntyp = 3
/
ATOMIC_SPECIES
Zr 91.22 Zr.upf
Be 9.01 Be.upf
Os 190.23 Os.upf
ATOMIC_POSITIONS crystal
Zr 0.000 0.000 0.000
Be 0.000 0.500 0.500
Be 0.500 0.000 0.500
Os 0.500 0.500 0.000
CELL_PARAMETERS angstrom
2.657 -3.242 0.000
2.657 3.242 0.000
0.000 0.000 3.064
```

# 4
This record from Alexandria via LeMat-Bulk describes a geometry-optimized NdSnCl5 structure. The functional is PBE. Values from VASP.

## Properties
The calculation puts the formation energy without anion corrections at -1.69 eV per atom.

Cell and atoms, written as Quantum ESPRESSO input:
```
&SYSTEM
  ibrav = 0, nat = 14, ntyp = 3
/
ATOMIC_SPECIES
Nd 144.24 Nd.upf
Sn 118.71 Sn.upf
Cl 35.45 Cl.upf
ATOMIC_POSITIONS crystal
Nd 0.089 0.250 0.148
Nd 0.911 0.750 0.852
Sn 0.413 0.750 0.365
Sn 0.587 0.250 0.635
Cl 0.102 0.250 0.791
Cl 0.156 0.250 0.362
Cl 0.178 0.750 0.015
Cl 0.358 0.750 0.564
Cl 0.429 0.250 0.179
Cl 0.571 0.750 0.821
Cl 0.642 0.250 0.436
Cl 0.822 0.250 0.985
Cl 0.844 0.750 0.638
Cl 0.898 0.750 0.209
CELL_PARAMETERS angstrom
7.830 0.000 0.000
0.000 4.272 0.000
-0.699 0.000 13.334
```

# 5
This record from Alexandria via LeMat-Bulk describes a geometry-optimized PrHo4Tm8 structure. The functional is PBE. Values from VASP.

## Properties
For the formation energy, the calculation gives 212 meV/atom.

Cell and atoms, written as Quantum ESPRESSO input:
```
&SYSTEM
  ibrav = 0, nat = 13, ntyp = 3
/
ATOMIC_SPECIES
Pr 140.91 Pr.upf
Ho 164.93 Ho.upf
Tm 168.93 Tm.upf
ATOMIC_POSITIONS crystal
Pr 0.000 0.000 0.000
Ho 0.000 0.000 0.500
Ho 0.000 0.500 0.000
Ho 0.500 0.000 0.000
Ho 0.500 0.500 0.500
Tm 0.251 0.251 0.692
Tm 0.251 0.692 0.251
Tm 0.281 0.281 0.281
Tm 0.308 0.749 0.749
Tm 0.692 0.251 0.251
Tm 0.719 0.719 0.719
Tm 0.749 0.308 0.749
Tm 0.749 0.749 0.308
CELL_PARAMETERS angstrom
3.615 2.087 8.913
-3.615 2.087 8.913
0.000 -4.175 8.913
```

# 6
This record from Alexandria via LeMat-Bulk describes a geometry-optimized CsMgPb4 structure. The functional is PBE. Values from VASP.

## Properties
For the formation energy, the calculation gives 91 meV/atom.

Cell and atoms, written as Quantum ESPRESSO input:
```
&SYSTEM
  ibrav = 0, nat = 6, ntyp = 3
/
ATOMIC_SPECIES
Cs 132.91 Cs.upf
Mg 24.30 Mg.upf
Pb 207.20 Pb.upf
ATOMIC_POSITIONS crystal
Cs 0.000 0.000 0.000
Mg 0.750 0.750 0.750
Pb 0.376 0.376 0.376
Pb 0.376 0.376 0.872
Pb 0.376 0.872 0.376
Pb 0.872 0.376 0.376
CELL_PARAMETERS angstrom
0.000 4.757 4.757
4.757 0.000 4.757
4.757 4.757 0.000
```

# 7
This record from Alexandria via LeMat-Bulk describes a geometry-optimized Tb4Nd2Bi3N2 structure. The functional is PBE. Values from VASP.

## Properties
The calculation puts the formation energy without anion corrections at -1.05 eV per atom.

Cell and atoms, written as Quantum ESPRESSO input:
```
&SYSTEM
  ibrav = 0, nat = 11, ntyp = 4
/
ATOMIC_SPECIES
Tb 158.93 Tb.upf
Nd 144.24 Nd.upf
Bi 208.98 Bi.upf
N 14.01 N.upf
ATOMIC_POSITIONS crystal
Tb 0.083 0.583 0.500
Tb 0.417 0.917 0.500
Tb 0.583 0.083 0.500
Tb 0.917 0.417 0.500
Nd 0.192 0.192 0.000
Nd 0.808 0.808 0.000
Bi 0.322 0.322 0.000
Bi 0.500 0.500 0.000
Bi 0.678 0.678 0.000
N 0.100 0.100 0.000
N 0.900 0.900 0.000
CELL_PARAMETERS angstrom
-2.363 2.363 13.103
2.363 -2.363 13.103
2.363 2.363 -13.103
```

# 8
This record from Alexandria via LeMat-Bulk describes a geometry-optimized DyThGeSe structure. The functional is PBE. Values from VASP.

## Properties
The calculation puts the formation energy without anion corrections at -1.30 eV per atom.

Cell and atoms, written as Quantum ESPRESSO input:
```
&SYSTEM
  ibrav = 0, nat = 4, ntyp = 4
/
ATOMIC_SPECIES
Dy 162.50 Dy.upf
Th 232.04 Th.upf
Ge 72.64 Ge.upf
Se 78.96 Se.upf
ATOMIC_POSITIONS crystal
Dy 0.000 0.000 0.000
Th 0.492 0.492 0.492
Ge 0.744 0.744 0.744
Se 0.249 0.249 0.249
CELL_PARAMETERS angstrom
2.113 1.220 6.791
-2.113 1.220 6.791
0.000 -2.440 6.791
```

# 9
This record from Alexandria via LeMat-Bulk describes a geometry-optimized NaSmI4 structure. The functional is PBE. Values from VASP.

## Properties
The calculation puts the formation energy without anion corrections at -1.35 eV per atom.

Cell and atoms, written as Quantum ESPRESSO input:
```
&SYSTEM
  ibrav = 0, nat = 6, ntyp = 3
/
ATOMIC_SPECIES
Na 22.99 Na.upf
Sm 150.36 Sm.upf
I 126.90 I.upf
ATOMIC_POSITIONS crystal
Na 0.000 0.000 0.000
Sm 0.000 0.500 0.500
I 0.225 0.500 0.189
I 0.237 0.000 0.653
I 0.763 0.000 0.347
I 0.775 0.500 0.811
CELL_PARAMETERS angstrom
7.669 0.000 0.000
0.000 4.507 0.000
-0.079 0.000 8.063
```

# 10
This record from Alexandria via LeMat-Bulk describes a geometry-optimized YAl2N structure. The functional is PBE. Values from VASP.

## Properties
The calculation puts the formation energy without anion corrections at -0.17 eV per atom.

Cell and atoms, written as Quantum ESPRESSO input:
```
&SYSTEM
  ibrav = 0, nat = 8, ntyp = 3
/
ATOMIC_SPECIES
Y 88.91 Y.upf
Al 26.98 Al.upf
N 14.01 N.upf
ATOMIC_POSITIONS crystal
Y 0.000 0.000 0.000
Y 0.750 0.250 0.500
Al 0.287 0.625 0.162
Al 0.375 0.537 0.662
Al 0.463 0.125 0.838
Al 0.875 0.713 0.338
N 0.250 0.750 0.500
N 0.500 0.500 0.000
CELL_PARAMETERS angstrom
-3.069 3.069 4.114
3.069 -3.069 4.114
3.069 3.069 -4.114
```

# 11
This record from Alexandria via LeMat-Bulk describes a geometry-optimized Pm3AlPb2 structure. The functional is PBE. Values from VASP.

## Properties
For the formation energy, the calculation gives -476 meV/atom.

Cell and atoms, written as Quantum ESPRESSO input:
```
&SYSTEM
  ibrav = 0, nat = 24, ntyp = 3
/
ATOMIC_SPECIES
Pm 145.00 Pm.upf
Al 26.98 Al.upf
Pb 207.20 Pb.upf
ATOMIC_POSITIONS crystal
Pm 0.054 0.250 0.121
Pm 0.124 0.750 0.557
Pm 0.220 0.250 0.793
Pm 0.280 0.750 0.293
Pm 0.376 0.250 0.057
Pm 0.446 0.750 0.621
Pm 0.554 0.250 0.379
Pm 0.624 0.750 0.943
Pm 0.720 0.250 0.707
Pm 0.780 0.750 0.207
Pm 0.876 0.250 0.443
Pm 0.946 0.750 0.879
Al 0.129 0.250 0.369
Al 0.371 0.750 0.869
Al 0.629 0.250 0.131
Al 0.871 0.750 0.631
Pb 0.008 0.750 0.308
Pb 0.188 0.750 0.001
Pb 0.312 0.250 0.501
Pb 0.492 0.250 0.808
Pb 0.508 0.750 0.192
Pb 0.688 0.750 0.499
Pb 0.812 0.250 0.999
Pb 0.992 0.250 0.692
CELL_PARAMETERS angstrom
12.729 0.000 0.000
0.000 4.557 0.000
0.000 0.000 12.311
```

# 12
This record from Alexandria via LeMat-Bulk describes a geometry-optimized WSI3 structure. The functional is PBE. Values from VASP.

## Properties
The calculation puts the formation energy without anion corrections at 0.91 eV per atom.

Cell and atoms, written as Quantum ESPRESSO input:
```
&SYSTEM
  ibrav = 0, nat = 5, ntyp = 3
/
ATOMIC_SPECIES
W 183.84 W.upf
S 32.06 S.upf
I 126.90 I.upf
ATOMIC_POSITIONS crystal
W 0.000 0.000 0.000
S 0.500 0.500 0.500
I 0.000 0.000 0.500
I 0.000 0.500 0.000
I 0.500 0.000 0.000
CELL_PARAMETERS angstrom
5.371 0.000 0.000
0.000 5.371 0.000
0.000 0.000 5.371
```

# 13
This record from Alexandria via LeMat-Bulk describes a geometry-optimized Dy6TmTl2 structure. The functional is PBE. Values from VASP.

## Properties
For the formation energy, the calculation gives -91 meV/atom.

Cell and atoms, written as Quantum ESPRESSO input:
```
&SYSTEM
  ibrav = 0, nat = 18, ntyp = 3
/
ATOMIC_SPECIES
Dy 162.50 Dy.upf
Tm 168.93 Tm.upf
Tl 204.38 Tl.upf
ATOMIC_POSITIONS crystal
Dy 0.074 0.814 0.989
Dy 0.145 0.403 0.164
Dy 0.186 0.926 0.511
Dy 0.233 0.526 0.687
Dy 0.403 0.145 0.664
Dy 0.474 0.767 0.813
Dy 0.526 0.233 0.187
Dy 0.597 0.855 0.336
Dy 0.767 0.474 0.313
Dy 0.814 0.074 0.489
Dy 0.855 0.597 0.836
Dy 0.926 0.186 0.011
Tm 0.400 0.600 0.250
Tm 0.600 0.400 0.750
Tl 0.039 0.280 0.586
Tl 0.280 0.039 0.086
Tl 0.720 0.961 0.914
Tl 0.961 0.720 0.414
CELL_PARAMETERS angstrom
7.647 -5.735 0.000
7.647 5.735 0.000
-0.579 0.000 6.080
```

no.,magnetization (μB/atom)
1,0.000
2,0.001
3,0.000
4,0.000
5,0.000
6,0.000
7,0.000
8,0.000
9,0.000
10,0.154
11,0.000
12,0.000
13,0.000